Record 1
# Rb2ZnPtBr6 PBE relaxed
# Final energy = -2.844 eV per atom
# Total magnetization = 0.0 μB/f.u.
data_Rb2ZnPtBr6
_chemical_formula_sum 'Rb4 Zn2 Pt2 Br12'
_space_group_name_H-M_alt 'I 4/m m m'
_space_group_IT_number 139
_space_group_name_Hall '-I 4 2'
_cell_length_a 7.4842
_cell_length_b 7.4842
_cell_length_c 10.9558
_cell_angle_alpha 90.00
_cell_angle_beta 90.00
_cell_angle_gamma 90.00
loop_
_atom_site_label
_atom_site_fract_x
_atom_site_fract_y
_atom_site_fract_z
Rb1 0.0000 0.5000 0.2500
Zn1 0.0000 0.0000 0.0000
Pt1 0.0000 0.0000 0.5000
Br1 0.0000 0.0000 0.2697
Br2 0.2467 0.2467 0.0000

=====

Record 2
# Rb2ZnPtBr PBE relaxed
# Final energy = -2.277 eV per atom
# Total magnetization = 0.0 μB/f.u.
data_Rb2ZnPtBr
_chemical_formula_sum 'Rb2 Zn1 Pt1 Br1'
_space_group_name_H-M_alt 'P 4/m m m'
_space_group_IT_number 123
_space_group_name_Hall '-P 4 2'
_cell_length_a 6.5244
_cell_length_b 6.5244
_cell_length_c 4.9923
_cell_angle_alpha 90.00
_cell_angle_beta 90.00
_cell_angle_gamma 90.00
loop_
_atom_site_label
_atom_site_fract_x
_atom_site_fract_y
_atom_site_fract_z
Rb1 0.0000 0.5000 0.0000
Zn1 0.0000 0.0000 0.5000
Pt1 0.5000 0.5000 0.5000
Br1 0.5000 0.5000 0.0000

=====

Record 3
# Rb2ZrPtBr6 PBE relaxed
# Final energy = -3.745 eV per atom
# Total magnetization = 0.0 μB/f.u.
data_Rb2ZrPtBr6
_chemical_formula_sum 'Rb4 Zr2 Pt2 Br12'
_space_group_name_H-M_alt 'I 4/m m m'
_space_group_IT_number 139
_space_group_name_Hall '-I 4 2'
_cell_length_a 7.5258
_cell_length_b 7.5258
_cell_length_c 12.0722
_cell_angle_alpha 90.00
_cell_angle_beta 90.00
_cell_angle_gamma 90.00
loop_
_atom_site_label
_atom_site_fract_x
_atom_site_fract_y
_atom_site_fract_z
Rb1 0.0000 0.5000 0.2500
Zr1 0.0000 0.0000 0.0000
Pt1 0.0000 0.0000 0.5000
Br1 0.0000 0.0000 0.2229
Br2 0.2483 0.2483 0.5000

=====

Record 4
# RePtBr2 PBE relaxed
# Total magnetization = 0.0 μB/f.u.
# Polymorph energy (0 for the lowest one) = 0.622 eV/f.u.
data_RePtBr2
_chemical_formula_sum 'Re1 Pt1 Br2'
_space_group_name_H-M_alt 'P 4 m m'
_space_group_IT_number 99
_cell_length_a 3.0943
_cell_length_b 3.0943
_cell_length_c 8.7102
_cell_angle_alpha 90.00
_cell_angle_beta 90.00
_cell_angle_gamma 90.00
loop_
_space_group_symop_operation_xyz
'x,y,z'
'-y,x,z'
'-x,-y,z'
'y,-x,z'
'-x,y,z'
'y,x,z'
'x,-y,z'
'-y,-x,z'
loop_
_atom_site_label
_atom_site_fract_x
_atom_site_fract_y
_atom_site_fract_z
Re1 0.0000 0.0000 0.0000
Pt1 0.5000 0.5000 0.8175
Br1 0.0000 0.0000 0.5991
Br2 0.5000 0.5000 0.1988

=====

Record 5
# RePtBr2 PBE relaxed
# Total magnetization = 1.6 μB/f.u.
# Polymorph energy (0 for the lowest one) = 3.325 eV/f.u.
data_RePtBr2
_chemical_formula_sum 'Re1 Pt1 Br2'
_space_group_name_H-M_alt 'P m m m'
_space_group_IT_number 47
_cell_length_a 2.9787
_cell_length_b 4.5037
_cell_length_c 5.6245
_cell_angle_alpha 90.00
_cell_angle_beta 90.00
_cell_angle_gamma 90.00
loop_
_space_group_symop_operation_xyz
'x,y,z'
'-x,-y,-z'
'-x,-y,z'
'x,y,-z'
'x,-y,-z'
'-x,y,z'
'-x,y,-z'
'x,-y,z'
loop_
_atom_site_label
_atom_site_fract_x
_atom_site_fract_y
_atom_site_fract_z
Re1 0.0000 0.0000 0.0000
Pt1 0.5000 0.0000 0.5000
Br1 0.0000 0.5000 0.5000
Br2 0.5000 0.5000 0.0000

=====

Record 6
# RePtBr2 PBE relaxed
# Total magnetization = 3.0 μB/f.u.
# Polymorph energy (0 for the lowest one) = 3.979 eV/f.u.
data_RePtBr2
_chemical_formula_sum 'Re4 Pt4 Br8'
_space_group_name_H-M_alt 'F -4 3 m'
_space_group_IT_number 216
_space_group_name_Hall 'F -4 2 3'
_cell_length_a 6.7719
_cell_length_b 6.7719
_cell_length_c 6.7719
_cell_angle_alpha 90.00
_cell_angle_beta 90.00
_cell_angle_gamma 90.00
loop_
_atom_site_label
_atom_site_fract_x
_atom_site_fract_y
_atom_site_fract_z
Re1 0.0000 0.0000 0.0000
Pt1 0.2500 0.2500 0.2500
Br1 0.0000 0.0000 0.5000
Br2 0.2500 0.2500 0.7500

=====

Record 7
# RePtBr2 PBE relaxed
# Total magnetization = 0.3 μB/f.u.
# Polymorph energy (0 for the lowest one) = 2.118 eV/f.u.
data_RePtBr2
_chemical_formula_sum 'Re3 Pt3 Br6'
_space_group_name_H-M_alt 'R -3 m'
_space_group_IT_number 166
_space_group_name_Hall '-R 3 2"'
_cell_length_a 2.8846
_cell_length_b 2.8846
_cell_length_c 35.3042
_cell_angle_alpha 90.00
_cell_angle_beta 90.00
_cell_angle_gamma 120.00
loop_
_atom_site_label
_atom_site_fract_x
_atom_site_fract_y
_atom_site_fract_z
Re1 0.0000 0.0000 0.0000
Pt1 0.0000 0.0000 0.5000
Br1 0.0000 0.0000 0.0684

=====

Record 8
# RePtBr2 PBE relaxed
# Total magnetization = 0.0 μB/f.u.
# Polymorph energy (0 for the lowest one) = 3.594 eV/f.u.
data_RePtBr2
_chemical_formula_sum 'Re1 Pt1 Br2'
_space_group_name_H-M_alt 'P 4/m m m'
_space_group_IT_number 123
_space_group_name_Hall '-P 4 2'
_cell_length_a 3.0266
_cell_length_b 3.0266
_cell_length_c 8.0251
_cell_angle_alpha 90.00
_cell_angle_beta 90.00
_cell_angle_gamma 90.00
loop_
_atom_site_label
_atom_site_fract_x
_atom_site_fract_y
_atom_site_fract_z
Re1 0.0000 0.0000 0.0000
Pt1 0.0000 0.0000 0.5000
Br1 0.5000 0.5000 0.2114

=====

Record 9
# RePtBr2 PBE relaxed
# Total magnetization = 1.6 μB/f.u.
# Polymorph energy (0 for the lowest one) = 2.076 eV/f.u.
data_RePtBr2
_chemical_formula_sum 'Re2 Pt2 Br4'
_space_group_name_H-M_alt 'I m m 2'
_space_group_IT_number 44
_cell_length_a 2.9959
_cell_length_b 4.8179
_cell_length_c 12.2527
_cell_angle_alpha 90.00
_cell_angle_beta 90.00
_cell_angle_gamma 90.00
loop_
_space_group_symop_operation_xyz
'x,y,z'
'-x,-y,z'
'-x,y,z'
'x,-y,z'
'x+1/2,y+1/2,z+1/2'
'-x+1/2,-y+1/2,z+1/2'
'-x+1/2,y+1/2,z+1/2'
'x+1/2,-y+1/2,z+1/2'
loop_
_atom_site_label
_atom_site_fract_x
_atom_site_fract_y
_atom_site_fract_z
Re1 0.0000 0.0000 0.0000
Pt1 0.0000 0.5000 0.6728
Br1 0.0000 0.0000 0.5108
Br2 0.0000 0.5000 0.3225

=====

Record 10
# RePtBr4 PBE relaxed
# Final energy = -2.334 eV per atom
# Total magnetization = 4.3 μB/f.u.
data_RePtBr4
_chemical_formula_sum 'Re4 Pt4 Br16'
_space_group_name_H-M_alt 'F -4 3 m'
_space_group_IT_number 216
_space_group_name_Hall 'F -4 2 3'
_cell_length_a 8.4448
_cell_length_b 8.4448
_cell_length_c 8.4448
_cell_angle_alpha 90.00
_cell_angle_beta 90.00
_cell_angle_gamma 90.00
loop_
_atom_site_label
_atom_site_fract_x
_atom_site_fract_y
_atom_site_fract_z
Re1 0.0000 0.0000 0.0000
Pt1 0.2500 0.2500 0.2500
Br1 0.1248 0.1248 0.6248

=====

Record 11
# RePtBr2 PBE relaxed
# Total magnetization = 1.9 μB/f.u.
# Polymorph energy (0 for the lowest one) = 3.284 eV/f.u.
data_RePtBr2
_chemical_formula_sum 'Re2 Pt2 Br4'
_space_group_name_H-M_alt 'C 1 2/m 1'
_space_group_IT_number 12
_cell_length_a 6.0065
_cell_length_b 8.9301
_cell_length_c 3.2106
_cell_angle_alpha 90.00
_cell_angle_beta 118.19
_cell_angle_gamma 90.00
loop_
_space_group_symop_operation_xyz
'x,y,z'
'-x,-y,-z'
'-x,y,-z'
'x,-y,z'
'x+1/2,y+1/2,z'
'-x+1/2,-y+1/2,-z'
'-x+1/2,y+1/2,-z'
'x+1/2,-y+1/2,z'
loop_
_atom_site_label
_atom_site_fract_x
_atom_site_fract_y
_atom_site_fract_z
Re1 0.0000 0.0000 0.0000
Pt1 0.0000 0.5000 0.0000
Br1 0.2500 0.2500 0.0000

=====

Record 12
# RePtBr2 PBE relaxed
# Total magnetization = 0.0 μB/f.u.
# Polymorph energy (0 for the lowest one) = 3.966 eV/f.u.
data_RePtBr2
_chemical_formula_sum 'Re4 Pt4 Br8'
_space_group_name_H-M_alt 'I -4 2 d'
_space_group_IT_number 122
_space_group_name_Hall 'I -4 2bw'
_cell_length_a 6.1788
_cell_length_b 6.1788
_cell_length_c 9.9284
_cell_angle_alpha 90.00
_cell_angle_beta 90.00
_cell_angle_gamma 90.00
loop_
_atom_site_label
_atom_site_fract_x
_atom_site_fract_y
_atom_site_fract_z
Re1 0.0000 0.0000 0.0000
Pt1 0.0000 0.0000 0.5000
Br1 0.2298 0.2500 0.1250

=====

Record 13
# RePtBr3 PBE relaxed
# Final energy = -3.589 eV per atom
# Total magnetization = 5.9 μB/f.u.
data_RePtBr3
_chemical_formula_sum 'Re1 Pt1 Br3'
_space_group_name_H-M_alt 'P m -3 m'
_space_group_IT_number 221
_space_group_name_Hall '-P 4 2 3'
_cell_length_a 5.1890
_cell_length_b 5.1890
_cell_length_c 5.1890
_cell_angle_alpha 90.00
_cell_angle_beta 90.00
_cell_angle_gamma 90.00
loop_
_atom_site_label
_atom_site_fract_x
_atom_site_fract_y
_atom_site_fract_z
Re1 0.0000 0.0000 0.0000
Pt1 0.5000 0.5000 0.5000
Br1 0.0000 0.5000 0.5000

=====

Record 14
# RePtBr2 PBE relaxed
# Total magnetization = 0.0 μB/f.u.
# Polymorph energy (0 for the lowest one) = 3.976 eV/f.u.
data_RePtBr2
_chemical_formula_sum 'Re2 Pt2 Br4'
_space_group_name_H-M_alt 'I 4/m m m'
_space_group_IT_number 139
_space_group_name_Hall '-I 4 2'
_cell_length_a 4.3331
_cell_length_b 4.3331
_cell_length_c 7.5275
_cell_angle_alpha 90.00
_cell_angle_beta 90.00
_cell_angle_gamma 90.00
loop_
_atom_site_label
_atom_site_fract_x
_atom_site_fract_y
_atom_site_fract_z
Re1 0.0000 0.0000 0.0000
Pt1 0.0000 0.0000 0.5000
Br1 0.0000 0.5000 0.2500

=====

Record 15
# RePtBr2 PBE relaxed
# Total magnetization = 0.0 μB/f.u.
# Polymorph energy (0 for the lowest one) = 2.201 eV/f.u.
data_RePtBr2
_chemical_formula_sum 'Re3 Pt3 Br6'
_space_group_name_H-M_alt 'R -3 m'
_space_group_IT_number 166
_space_group_name_Hall '-R 3 2"'
_cell_length_a 3.1012
_cell_length_b 3.1012
_cell_length_c 26.5026
_cell_angle_alpha 90.00
_cell_angle_beta 90.00
_cell_angle_gamma 120.00
loop_
_atom_site_label
_atom_site_fract_x
_atom_site_fract_y
_atom_site_fract_z
Re1 0.0000 0.0000 0.0000
Pt1 0.0000 0.0000 0.5000
Br1 0.0000 0.0000 0.2608